{"formula": "K2BaNiH8", "functional": "PBE", "state": "relaxed", "energy_ev_per_atom": -3.2668, "lattice_angstrom": [[5.3339, 0.0000, 0.0000], [-2.6669, 4.6193, 0.0000], [0.0000, 0.0000, 7.0631]], "species": ["H", "H", "H", "H", "H", "H", "H", "H", "K", "K", "Ni", "Ba"], "fractional_positions": [[0.8675, 0.7350, 0.8749], [0.3333, 0.6667, 0.4557], [0.8675, 0.1325, 0.8749], [0.6667, 0.3333, 0.5443], [0.1325, 0.2650, 0.1251], [0.1325, 0.8675, 0.1251], [0.2650, 0.1325, 0.8749], [0.7350, 0.8675, 0.1251], [0.3333, 0.6667, 0.8311], [0.6667, 0.3333, 0.1689], [0.0000, 0.0000, 0.0000], [0.0000, 0.0000, 0.5000]]}